[1]
! KTc2O6 | Alexandria via LeMat-Bulk | GGA-PBE | relaxed; values from VASP
! - Size of the total moment: 0.092 μB per atom
! - Space-group type: P-31m (162)
! - Formation energy from raw total energies: -1.44 eV per atom
&SYSTEM
  ibrav = 0, nat = 9, ntyp = 3
/
ATOMIC_SPECIES
Tc 98.00 Tc.upf
O 16.00 O.upf
K 39.10 K.upf
CELL_PARAMETERS angstrom
-0.1076 4.9752 1.9470
0.5530 -4.1549 3.3145
5.7658 0.3362 -0.5405
ATOMIC_POSITIONS crystal
Tc 0.3333 0.6667 0.5000
O 0.3980 0.0000 0.6810
O 0.0000 0.6020 0.3190
O 0.0000 0.3980 0.6810
O 0.6020 0.6020 0.6810
K 0.0000 0.0000 0.0000
O 0.6020 0.0000 0.3190
O 0.3980 0.3980 0.3190
Tc 0.6667 0.3333 0.5000

[2]
! Rb4InPb4 | Alexandria via LeMat-Bulk | GGA-PBE | relaxed; values from VASP
! - Size of the total moment: 0.000 μB per atom
! - Space-group type: I-42m (121)
! - Energy of formation: 1.85 kcal/mol of atoms
&SYSTEM
  ibrav = 0, nat = 9, ntyp = 3
/
ATOMIC_SPECIES
Pb 207.20 Pb.upf
Rb 85.47 Rb.upf
In 114.82 In.upf
CELL_PARAMETERS angstrom
-3.4430 3.0657 5.6605
-6.1586 -3.7960 -6.3976
-2.4352 -6.5625 2.0729
ATOMIC_POSITIONS crystal
Pb 0.9948 0.6823 0.0052
Rb 0.4355 0.2323 0.5645
Rb 0.2032 0.7677 0.4355
Pb 0.3125 0.3177 0.9948
Pb 0.0052 0.3177 0.6875
In 0.0000 0.0000 0.0000
Rb 0.7968 0.2323 0.2032
Pb 0.6875 0.6823 0.3125
Rb 0.5645 0.7677 0.7968

[3]
! Pm2Al4Ir3Rh | Alexandria via LeMat-Bulk | GGA-PBE | relaxed; values from VASP
! - Size of the total moment: 0.000 μB per atom
! - Space-group type: P-4m2 (115)
! - Energy of formation: -20.74 kcal/mol of atoms
&SYSTEM
  ibrav = 0, nat = 10, ntyp = 4
/
ATOMIC_SPECIES
Pm 145.00 Pm.upf
Al 26.98 Al.upf
Ir 192.22 Ir.upf
Rh 102.91 Rh.upf
CELL_PARAMETERS angstrom
4.2672 0.0000 0.0000
0.0000 4.2672 0.0000
0.0000 0.0000 10.2017
ATOMIC_POSITIONS crystal
Pm 0.5000 0.0000 0.2594
Al 0.0000 0.5000 0.3791
Ir 0.5000 0.0000 0.8658
Al 0.5000 0.5000 0.0000
Ir 0.0000 0.0000 0.5000
Pm 0.0000 0.5000 0.7406
Ir 0.0000 0.5000 0.1342
Rh 0.5000 0.5000 0.5000
Al 0.5000 0.0000 0.6209
Al 0.0000 0.0000 0.0000

[4]
! Ni2P | Alexandria via LeMat-Bulk | GGA-PBE | relaxed; values from VASP
! - Size of the total moment: 0.000 μB per atom
! - Space-group type: Cmcm (63)
! - Energy of formation: -3.70 kcal/mol of atoms
&SYSTEM
  ibrav = 0, nat = 6, ntyp = 2
/
ATOMIC_SPECIES
Ni 58.69 Ni.upf
P 30.97 P.upf
CELL_PARAMETERS angstrom
-5.4627 2.1757 1.4967
3.8193 -4.2145 -2.1131
0.4672 -1.5920 4.0197
ATOMIC_POSITIONS crystal
Ni 0.9473 0.0527 0.7500
Ni 0.0527 0.9473 0.2500
Ni 0.3627 0.6373 0.2500
Ni 0.6373 0.3627 0.7500
P 0.7012 0.2988 0.2500
P 0.2988 0.7012 0.7500

[5]
! Tb4YMg | Alexandria via LeMat-Bulk | GGA-PBE | relaxed; values from VASP
! - Size of the total moment: 0.000 μB per atom
! - Space-group type: C2/c (15)
! - Energy of formation: 0.48 kcal/mol of atoms
&SYSTEM
  ibrav = 0, nat = 12, ntyp = 3
/
ATOMIC_SPECIES
Tb 158.93 Tb.upf
Mg 24.30 Mg.upf
Y 88.91 Y.upf
CELL_PARAMETERS angstrom
-3.1033 -2.4711 4.6498
-5.6207 -2.2190 -0.9170
7.3524 -8.5544 -3.7123
ATOMIC_POSITIONS crystal
Tb 0.4170 0.2501 0.2498
Tb 0.8360 0.3277 0.5001
Mg 0.9160 0.0840 0.7500
Tb 0.6723 0.1640 0.9999
Tb 0.5830 0.7499 0.7502
Y 0.0000 0.5000 0.0000
Tb 0.1640 0.6723 0.4999
Tb 0.7499 0.5830 0.2502
Tb 0.2501 0.4170 0.7498
Mg 0.0840 0.9160 0.2500
Y 0.5000 0.0000 0.5000
Tb 0.3277 0.8360 0.0001

[6]
! KFe3H | Alexandria via LeMat-Bulk | GGA-PBE | relaxed; values from VASP
! - Size of the total moment: 1.589 μB per atom
! - Space-group type: Pm-3m (221)
! - Energy: -14.84 eV per cell
&SYSTEM
  ibrav = 0, nat = 5, ntyp = 3
/
ATOMIC_SPECIES
H 1.01 H.upf
Fe 55.84 Fe.upf
K 39.10 K.upf
CELL_PARAMETERS angstrom
-3.5945 2.3760 1.7110
-2.4076 -3.9402 0.4139
1.6663 -0.5677 4.2889
ATOMIC_POSITIONS crystal
H 0.5000 0.5000 0.5000
Fe 0.0000 0.5000 0.0000
Fe 0.5000 0.0000 0.0000
Fe 0.0000 0.0000 0.5000
K 0.0000 0.0000 0.0000

What is the size of the total moment in the fourth record?
0.000 μB per atom

Which value of size of the total moment does entry 2 give?
0.000 μB per atom

size of the total moment of number 4 (Ni2P)?
0.000 μB per atom